Entry 1:
Computed, not measured: crystalline TbZr2Os at its relaxed geometry at the PBE level of DFT.

Output
E above lowest polymorph, eV per atom: 0.000
E, eV/atom: -8.3599
ΔE_f, eV per atom: -0.121

a b c (Å): 3.321 3.321 8.025
angles (deg): 90.00 90.00 90.00
Element x y z (fractional)
Tb 0.000 0.000 0.000
Zr 0.500 0.500 0.300
Zr 0.500 0.500 0.700
Os 0.000 0.000 0.500

Entry 2:
Computed, not measured: crystalline AcPd4I at its relaxed geometry at the PBE level of DFT.

Output
Formation energy without anion corrections, meV/atom: -442
E, eV/atom: -4.8473

a b c (Å): 5.633 5.633 5.633
angles (deg): 60.00 60.00 60.00
Element x y z (fractional)
Ac 0.000 0.000 0.000
Pd 0.374 0.374 0.374
Pd 0.374 0.374 0.878
Pd 0.374 0.878 0.374
Pd 0.878 0.374 0.374
I 0.750 0.750 0.750

Entry 3:
Computed, not measured: crystalline Ca3TcI at its relaxed geometry at the PBE level of DFT.

Output
Formation energy without anion corrections, meV/atom: 164
E above lowest polymorph, eV per atom: 0.000
E, eV/atom: -3.4204

a b c (Å): 5.527 5.527 5.527
angles (deg): 90.00 90.00 90.00
Element x y z (fractional)
Ca 0.000 0.000 0.500
Ca 0.000 0.500 0.000
Ca 0.500 0.000 0.000
Tc 0.000 0.000 0.000
I 0.500 0.500 0.500

Entry 4:
Computed, not measured: crystalline CsKIF at its relaxed geometry at the PBE level of DFT.

Output
Formation energy without anion corrections, meV/atom: -2017
E, eV/atom: -3.3605

a b c (Å): 11.916 11.916 11.916
angles (deg): 28.51 28.51 28.51
Element x y z (fractional)
Cs 0.126 0.126 0.126
Cs 0.874 0.874 0.874
K 0.280 0.280 0.280
K 0.720 0.720 0.720
I 0.386 0.386 0.386
I 0.614 0.614 0.614
F 0.207 0.207 0.207
F 0.793 0.793 0.793

Entry 5:
Computed, not measured: crystalline KBaSr2Au at its relaxed geometry at the PBE level of DFT.

Output
E above lowest polymorph, eV per atom: 0.000
E, eV/atom: -2.2429
ΔE_f, eV per atom: -0.311

a b c (Å): 6.305 6.305 6.539
angles (deg): 90.00 90.00 90.00
Element x y z (fractional)
K 0.000 0.000 0.000
Ba 0.500 0.500 0.000
Sr 0.000 0.500 0.500
Sr 0.500 0.000 0.500
Au 0.500 0.500 0.500

Entry 6:
Computed, not measured: crystalline Ba2BiAs at its relaxed geometry at the PBE level of DFT.

Output
E, eV/atom: -3.7603
ΔE_f, eV per atom: -0.666

a b c (Å): 7.473 7.473 7.473
angles (deg): 103.40 103.40 122.44
Element x y z (fractional)
Ba 0.090 0.625 0.965
Ba 0.375 0.340 0.465
Ba 0.660 0.125 0.035
Ba 0.875 0.910 0.535
Bi 0.250 0.750 0.500
Bi 0.500 0.500 0.000
As 0.000 0.000 0.000
As 0.750 0.250 0.500

Entry 7:
Computed, not measured: crystalline Th2GaSi4Ir3 at its relaxed geometry at the PBE level of DFT.

Output
Formation energy without anion corrections, meV/atom: -932
E, eV/atom: -7.5460

a b c (Å): 4.224 4.224 9.998
angles (deg): 90.00 90.00 90.00
Element x y z (fractional)
Th 0.000 0.500 0.246
Th 0.500 0.000 0.754
Ga 0.000 0.000 0.500
Si 0.000 0.000 0.000
Si 0.000 0.500 0.639
Si 0.500 0.000 0.361
Si 0.500 0.500 0.000
Ir 0.000 0.500 0.878
Ir 0.500 0.000 0.122
Ir 0.500 0.500 0.500

Entry 8:
Computed, not measured: crystalline La4InCoSb at its relaxed geometry at the PBE level of DFT.

Output
Formation energy without anion corrections, meV/atom: -535
E, eV/atom: -5.3458

a b c (Å): 9.451 9.451 7.128
angles (deg): 90.00 90.00 135.57
Element x y z (fractional)
La 0.000 0.500 0.000
La 0.000 0.500 0.500
La 0.075 0.925 0.750
La 0.423 0.577 0.750
La 0.500 0.000 0.000
La 0.500 0.000 0.500
La 0.577 0.423 0.250
La 0.925 0.075 0.250
In 0.111 0.889 0.250
In 0.889 0.111 0.750
Co 0.249 0.751 0.750
Co 0.751 0.249 0.250
Sb 0.390 0.610 0.250
Sb 0.610 0.390 0.750

Entry 9:
Computed, not measured: crystalline AgHIrPt2 at its relaxed geometry at the PBE level of DFT.

Output
E, eV/atom: -3.0135

a b c (Å): 4.947 4.947 4.890
angles (deg): 90.00 90.00 90.00
Element x y z (fractional)
Ag 0.000 0.000 0.000
H 0.500 0.500 0.500
Ir 0.000 0.000 0.500
Pt 0.000 0.500 0.000
Pt 0.500 0.000 0.000

Entry 10:
Computed, not measured: crystalline Tb6YEr5 at its relaxed geometry at the PBE level of DFT.

Output
E, eV/atom: -4.7359
ΔE_f, eV per atom: 0.019

a b c (Å): 7.917 7.917 10.002
angles (deg): 90.00 90.00 143.16
Element x y z (fractional)
Tb 0.000 0.000 0.249
Tb 0.000 0.000 0.751
Tb 0.333 0.667 0.249
Tb 0.333 0.667 0.751
Tb 0.667 0.333 0.249
Tb 0.667 0.333 0.751
Y 0.500 0.500 0.500
Er 0.167 0.833 0.000
Er 0.167 0.833 0.500
Er 0.500 0.500 0.000
Er 0.833 0.167 0.000
Er 0.833 0.167 0.500

Entry 11:
Computed, not measured: crystalline Er7PdRh4 at its relaxed geometry at the PBE level of DFT.

Output
E, eV/atom: -6.1595
ΔE_f, eV per atom: -0.615

a b c (Å): 7.363 7.363 9.706
angles (deg): 123.77 123.77 41.09
Element x y z (fractional)
Er 0.000 0.000 0.000
Er 0.168 0.168 0.616
Er 0.288 0.288 0.127
Er 0.424 0.424 0.659
Er 0.576 0.576 0.341
Er 0.712 0.712 0.873
Er 0.832 0.832 0.384
Pd 0.500 0.500 0.000
Rh 0.068 0.068 0.780
Rh 0.209 0.209 0.349
Rh 0.791 0.791 0.651
Rh 0.932 0.932 0.220

Entry 12:
Computed, not measured: crystalline In3Re at its relaxed geometry at the PBE level of DFT.

Output
E above lowest polymorph, eV per atom: 0.385
E, eV/atom: -4.4948
ΔE_f, eV per atom: 0.671

a b c (Å): 6.151 6.151 9.872
angles (deg): 90.00 90.00 120.00
Element x y z (fractional)
In 0.000 0.500 0.000
In 0.000 0.500 0.500
In 0.160 0.319 0.250
In 0.160 0.840 0.250
In 0.319 0.160 0.750
In 0.500 0.000 0.000
In 0.500 0.000 0.500
In 0.500 0.500 0.000
In 0.500 0.500 0.500
In 0.681 0.840 0.250
In 0.840 0.160 0.750
In 0.840 0.681 0.750
Re 0.000 0.000 0.000
Re 0.000 0.000 0.500
Re 0.333 0.667 0.750
Re 0.667 0.333 0.250